# SrPrTlCu, relaxed, DFT PBE-GGA
data_SrPrTlCu
_cell_length_a 7.7371
_cell_length_b 7.7371
_cell_length_c 7.7371
_cell_angle_alpha 90.00
_cell_angle_beta 90.00
_cell_angle_gamma 90.00
_space_group_name_H-M_alt 'F -4 3 m'
_space_group_IT_number 216
_space_group_name_Hall 'F -4 2 3'
loop_
_atom_site_label
_atom_site_fract_x
_atom_site_fract_y
_atom_site_fract_z
Sr1 0.0000 0.0000 0.0000
Pr1 0.0000 0.0000 0.5000
Tl1 0.2500 0.2500 0.2500
Cu1 0.2500 0.2500 0.7500
# - calculated total energy (eV/cell) = -54.30
# - energy relative to the elements (meV/atom) = -163